First-principles (PBE-GGA) data for a relaxed structure of Sc2NiRu, as listed in Alexandria.

Its total magnetization is 0.00 Bohr magnetons per cell. The calculation puts the calculated volume at 130 Å³ per cell. Its calculated total energy is -7.5073 eV/atom. For the formation energy, the calculation gives -55.70 kJ per mole of atoms.

It has space group I4/mmm (No. 139), with a = 4.5156 Å, b = 4.5156 Å, c = 6.3700 Å, α = 90.00°, β = 90.00° and γ = 90.00°. The inequivalent atoms are Sc at (0.0000, 0.5000, 0.2500), Ni at (0.0000, 0.0000, 0.0000) and Ru at (0.0000, 0.0000, 0.5000).


First-principles (PBE-GGA) data for a relaxed structure of Li2ZrPd8, as listed in Alexandria.

Its total magnetization is 0.00 Bohr magnetons per cell. The calculation puts the calculated volume at 340 Å³ per cell. Its calculated total energy is -5.3635 eV/atom. For the formation energy, the calculation gives -44.56 kJ per mole of atoms.

It has space group C2/m (No. 12), with a = 14.1016 Å, b = 4.0359 Å, c = 6.2401 Å, α = 90.00°, β = 106.66° and γ = 90.00°. The inequivalent atoms are Li at (0.2268, 0.0000, 0.1459), Zr at (0.0000, 0.5000, 0.5000), Pd at (0.0455, 0.0000, 0.2264), Pd at (0.0950, 0.5000, 0.9614), Pd at (0.1401, 0.0000, 0.6912) and Pd at (0.1830, 0.5000, 0.4182).


First-principles (PBE-GGA) data for a relaxed structure of GdThGeAu, as listed in Alexandria.

Its total magnetization is 31.50 Bohr magnetons per cell. The calculation puts the calculated volume at 397 Å³ per cell. Its calculated total energy is -7.9841 eV/atom. For the formation energy, the calculation gives -61.29 kJ per mole of atoms.

It has space group F-43m (No. 216), with a = 7.3488 Å, b = 7.3488 Å, c = 7.3488 Å, α = 90.00°, β = 90.00° and γ = 90.00°. The inequivalent atoms are Gd at (0.0000, 0.0000, 0.0000), Th at (0.0000, 0.0000, 0.5000), Ge at (0.2500, 0.2500, 0.2500) and Au at (0.2500, 0.2500, 0.7500).


First-principles (PBE-GGA) data for a relaxed structure of LaTmAu4, as listed in Alexandria.

Its total magnetization is 0.00 Bohr magnetons per cell. The calculation puts the calculated volume at 134 Å³ per cell. Its calculated total energy is -4.5564 eV/atom. For the formation energy, the calculation gives -77.67 kJ per mole of atoms.

It has space group P4/mmm (No. 123), with a = 3.7869 Å, b = 3.7869 Å, c = 9.3535 Å, α = 90.00°, β = 90.00° and γ = 90.00°. The inequivalent atoms are La at (0.0000, 0.0000, 0.0000), Tm at (0.5000, 0.5000, 0.5000), Au at (0.0000, 0.0000, 0.3440) and Au at (0.5000, 0.5000, 0.1807).


First-principles (PBE-GGA) data for a relaxed structure of SrAcSbH, as listed in Alexandria.

Its total magnetization is 0.00 Bohr magnetons per cell. The calculation puts the calculated volume at 467 Å³ per cell. Its calculated total energy is -3.7853 eV/atom.

It has space group F-43m (No. 216), with a = 7.7586 Å, b = 7.7586 Å, c = 7.7586 Å, α = 90.00°, β = 90.00° and γ = 90.00°. The inequivalent atoms are Sr at (0.0000, 0.0000, 0.0000), Ac at (0.0000, 0.0000, 0.5000), Sb at (0.2500, 0.2500, 0.7500) and H at (0.2500, 0.2500, 0.2500).


First-principles (PBE-GGA) data for a relaxed structure of TlHCl2, as listed in Alexandria.

Its total magnetization is 1.24 Bohr magnetons per cell. The calculation puts the calculated volume at 346 Å³ per cell. Its calculated total energy is -2.2464 eV/atom.

It has space group Fm-3m (No. 225), with a = 7.0192 Å, b = 7.0192 Å, c = 7.0192 Å, α = 90.00°, β = 90.00° and γ = 90.00°. The inequivalent atoms are Tl at (0.0000, 0.0000, 0.0000), H at (0.0000, 0.0000, 0.5000) and Cl at (0.2500, 0.2500, 0.2500).


First-principles (PBE-GGA) data for a relaxed structure of NaPuCuCl6, as listed in Alexandria.

Its total magnetization is 7.99 Bohr magnetons per cell. The calculation puts the calculated volume at 476 Å³ per cell. Its calculated total energy is -4.8445 eV/atom. For the energy relative to the elements, uncorrected, the calculation gives -1.4192 eV per atom.

It has space group P-31c (No. 163), with a = 6.5714 Å, b = 6.5714 Å, c = 12.7164 Å, α = 90.00°, β = 90.00° and γ = 120.00°. The inequivalent atoms are Na at (0.0000, 0.0000, 0.0000), Pu at (0.3333, 0.6667, 0.2500), Cu at (0.3333, 0.6667, 0.7500) and Cl at (0.0137, 0.3595, 0.6344).


First-principles (PBE-GGA) data for a relaxed structure of PmNdScCu, as listed in Alexandria.

Its total magnetization is 0.00 Bohr magnetons per cell. The calculation puts the calculated volume at 414 Å³ per cell. Its calculated total energy is -4.8444 eV/atom. For the formation energy, the calculation gives 13.71 kJ per mole of atoms.

It has space group F-43m (No. 216), with a = 7.4541 Å, b = 7.4541 Å, c = 7.4541 Å, α = 90.00°, β = 90.00° and γ = 90.00°. The inequivalent atoms are Pm at (0.0000, 0.0000, 0.0000), Nd at (0.0000, 0.0000, 0.5000), Sc at (0.2500, 0.2500, 0.7500) and Cu at (0.2500, 0.2500, 0.2500).